# CdH3Rh | the Alexandria database | PBE-GGA | optimized geometry
data_CdH3Rh
_symmetry_space_group_name_H-M 'P 1'
_symmetry_Int_Tables_number 1
_cell_length_a 3.3774
_cell_length_b 3.3774
_cell_length_c 9.5665
_cell_angle_alpha 90.00
_cell_angle_beta 90.00
_cell_angle_gamma 120.00
loop_
_symmetry_equiv_pos_as_xyz
'x,y,z'
loop_
_atom_site_label
_atom_site_fract_x
_atom_site_fract_y
_atom_site_fract_z
H1 0.0000 0.0000 0.2500
H2 0.0000 0.0000 0.7500
H3 0.3333 0.6667 0.9240
H4 0.3333 0.6667 0.5760
H5 0.6667 0.3333 0.4240
H6 0.6667 0.3333 0.0760
Rh1 0.3333 0.6667 0.7500
Rh2 0.6667 0.3333 0.2500
Cd1 0.0000 0.0000 0.0000
Cd2 0.0000 0.0000 0.5000
# E_tot = -3.52 eV per atom
# Volume = 94.5 Å³ per cell

# CdH3Rh | the Alexandria database | PBE-GGA | optimized geometry
data_CdH3Rh
_symmetry_space_group_name_H-M 'P 1'
_symmetry_Int_Tables_number 1
_cell_length_a 2.8070
_cell_length_b 2.8070
_cell_length_c 6.7399
_cell_angle_alpha 90.00
_cell_angle_beta 90.00
_cell_angle_gamma 90.00
loop_
_symmetry_equiv_pos_as_xyz
'x,y,z'
loop_
_atom_site_label
_atom_site_fract_x
_atom_site_fract_y
_atom_site_fract_z
H1 0.0000 0.0000 0.6864
H2 0.5000 0.0000 0.4678
H3 0.0000 0.5000 0.4678
Rh1 0.5000 0.5000 0.6205
Cd1 0.0000 0.0000 0.0213
# E_tot = -3.53 eV per atom
# Volume = 53.1 Å³ per cell

In order of appearance, DOS(E_F) = 0.46 0.61 states/eV/cell.